Entry 1:
28
Lattice="6.3594 0.0000 0.0000 0.0000 8.9298 0.0000 0.0000 0.0000 13.1902" Properties=species:S:1:pos:R:3 comment="PBE K3Zn2P2, relaxed" e_form_ev_per_atom=-0.22 dos_ef_per_ev_fu=0.8 e_tot_ev_per_atom=-2.60 vol_a3_per_fu=187.26 pbc="T T T"
K 0.6596 1.3727 1.4788
K 0.6596 1.3727 5.1163
K 0.6596 3.0922 8.0739
K 0.6596 3.0922 11.7114
K 2.0886 6.2960 9.8927
K 2.0886 7.0986 3.2976
K 4.2708 1.8311 9.8927
K 4.2708 2.6337 3.2976
K 5.6998 5.8376 1.4788
K 5.6998 5.8376 5.1163
K 5.6998 7.5570 8.0739
K 5.6998 7.5570 11.7114
Zn 2.4478 0.1025 7.7111
Zn 2.4478 0.1025 12.0742
Zn 2.4478 4.3624 1.1160
Zn 2.4478 4.3624 5.4791
Zn 3.9116 4.5674 7.7111
Zn 3.9116 4.5674 12.0742
Zn 3.9116 8.8273 1.1160
Zn 3.9116 8.8273 5.4791
P 1.3861 0.4458 9.8927
P 1.3861 4.0191 3.2976
P 2.6646 6.6973 0.0000
P 2.6646 6.6973 6.5951
P 3.6947 2.2324 0.0000
P 3.6947 2.2324 6.5951
P 4.9732 4.9107 9.8927
P 4.9732 8.4840 3.2976

=====

Entry 2:
8
Lattice="-3.2574 3.2574 2.7214 3.2574 -3.2574 2.7214 3.2574 3.2574 -2.7214" Properties=species:S:1:pos:R:3 comment="PBE MnSi2Ru, relaxed" formation_energy_uncorrected_mev_per_atom=153 dos_ef_per_ev_fu=1.8 e_tot_ev_per_atom=-7.17 vol_a3_per_fu=57.75 pbc="T T T"
Mn 0.0000 0.0000 0.0000
Mn 0.0000 3.2574 1.3607
Si 1.6287 1.6677 -0.6804
Si 4.8471 1.6287 0.6804
Si 1.6287 1.5897 2.0411
Si -1.5897 1.6287 3.4018
Ru 3.2574 0.0000 1.3607
Ru 0.0000 0.0000 2.7214

=====

Entry 3:
12
Lattice="3.8352 -3.8355 0.0000 3.8352 3.8355 0.0000 -3.8285 0.0000 14.2082" Properties=species:S:1:pos:R:3 comment="PBE Cs2Mg2TlBr7, relaxed" formation_energy_uncorrected_mev_per_atom=-1466 dos_ef_per_ev_fu=0.0 e_tot_ev_per_atom=-3.05 vol_a3_per_fu=418.01 pbc="T T T"
Cs -0.0021 0.0000 5.1304
Cs 3.8440 0.0000 9.0779
Mg -0.0046 0.0000 11.5048
Mg 3.8465 0.0000 2.7034
Tl 0.0000 0.0000 0.0000
Br 1.9192 1.9154 2.5693
Br 0.0065 0.0000 8.8533
Br 1.9227 1.9154 11.6390
Br 3.8352 0.0000 0.0000
Br 1.9192 -1.9154 2.5693
Br 3.8354 0.0000 5.3550
Br 1.9227 -1.9154 11.6390

=====

Entry 4:
8
Lattice="2.5353 1.4638 8.2636 -2.5353 1.4638 8.2636 0.0000 -2.9275 8.2636" Properties=species:S:1:pos:R:3 comment="PBE Er4Ag2HgPt, relaxed" e_form_ev_per_atom=-0.63 dos_ef_per_ev_fu=3.8 e_tot_ev_per_atom=-4.41 vol_a3_per_fu=184.00 pbc="T T T"
Er 0.0000 0.0000 2.9409
Er 0.0000 0.0000 9.1746
Er 0.0000 0.0000 15.6163
Er 0.0000 0.0000 21.8500
Ag 0.0000 0.0000 6.0537
Ag 0.0000 0.0000 18.7372
Hg 0.0000 0.0000 12.3955
Pt 0.0000 0.0000 0.0000

=====

Entry 5:
10
Lattice="3.7552 0.0000 0.0000 0.0000 3.7552 0.0000 0.0000 0.0000 19.6772" Properties=species:S:1:pos:R:3 comment="PBE KTb4Hg5, relaxed" e_form_ev_per_atom=-0.41 dos_ef_per_ev_fu=8.6 e_tot_ev_per_atom=-2.53 vol_a3_per_fu=277.47 pbc="T T T"
K 0.0000 0.0000 0.0000
Tb 0.0000 0.0000 4.2439
Tb 0.0000 0.0000 7.9828
Tb 0.0000 0.0000 11.6944
Tb 0.0000 0.0000 15.4333
Hg 1.8776 1.8776 2.5483
Hg 1.8776 1.8776 6.1314
Hg 1.8776 1.8776 9.8386
Hg 1.8776 1.8776 13.5458
Hg 1.8776 1.8776 17.1289

=====

Entry 6:
19
Lattice="6.4156 -3.0087 0.0000 6.4156 3.0087 0.0000 -1.9023 0.0000 6.5620" Properties=species:S:1:pos:R:3 comment="PBE V12P5C2, relaxed" e_form_ev_per_atom=-0.53 dos_ef_per_ev_fu=17.2 e_tot_ev_per_atom=-8.69 vol_a3_per_fu=253.32 pbc="T T T"
V -0.3140 0.0000 1.1681
V 2.6319 1.5577 5.9858
V 3.7973 1.4955 2.8923
V 7.1315 1.4955 3.6697
V 8.2970 1.5577 0.5762
V 4.8445 0.0000 5.1574
V 6.0844 0.0000 1.4045
V 2.6319 -1.5577 5.9858
V 3.7973 -1.4955 2.8923
V 7.1315 -1.4955 3.6697
V 8.2970 -1.5577 0.5762
V 11.2429 0.0000 5.3939
P -0.9511 0.0000 3.2810
P 2.4996 0.0000 4.1931
P 3.6675 0.0000 1.0566
P 7.2614 0.0000 5.5053
P 8.4293 0.0000 2.3688
C 6.4156 1.3867 0.0000
C 6.4156 -1.3867 0.0000

=====

Entry 7:
4
Lattice="3.4215 -3.4042 0.0000 3.4215 3.4042 0.0000 -0.0123 0.0000 4.5125" Properties=species:S:1:pos:R:3 comment="PBE LaAlSb2, relaxed" formation_energy_uncorrected_mev_per_atom=-539 dos_ef_per_ev_fu=1.9 e_tot_ev_per_atom=-4.77 vol_a3_per_fu=105.12 pbc="T T T"
La 0.0000 0.0000 0.0000
Al 3.4215 0.0000 0.0000
Sb 1.7046 1.7021 2.2562
Sb 1.7046 -1.7021 2.2562

=====

Entry 8:
4
Lattice="2.1436 1.2376 6.3016 -2.1436 1.2376 6.3016 0.0000 -2.4753 6.3016" Properties=species:S:1:pos:R:3 comment="PBE KNaPPd, relaxed" e_form_ev_per_atom=-0.33 dos_ef_per_ev_fu=3.5 e_tot_ev_per_atom=-3.58 vol_a3_per_fu=100.31 pbc="T T T"
K 0.0000 0.0000 0.0000
Na 0.0000 0.0000 15.2452
P 0.0000 0.0000 4.1059
Pd 0.0000 0.0000 10.3920

=====

Entry 9:
20
Lattice="5.3813 0.0000 0.0000 0.0000 5.5776 0.0000 -5.3508 0.0000 7.8776" Properties=species:S:1:pos:R:3 comment="PBE Li2CeOsO6, relaxed" formation_energy_uncorrected_mev_per_atom=-1971 dos_ef_per_ev_fu=4.7 e_tot_ev_per_atom=-7.04 vol_a3_per_fu=118.22 pbc="T T T"
Li -0.0571 0.0659 1.8950
Li -2.7325 2.7229 5.8338
Li 2.7630 2.8547 2.0437
Li 0.0876 5.5117 5.9825
Ce -2.6754 0.0000 3.9388
Ce 0.0000 2.7888 0.0000
Os 2.6906 0.0000 0.0000
Os 0.0153 2.7888 3.9388
O -3.3196 0.3737 6.0797
O -0.6443 2.4151 2.1409
O -1.6407 3.6647 4.3962
O 1.0346 4.7016 0.4574
O -0.7429 1.1183 4.5156
O 1.9325 1.6705 0.5768
O -1.9020 3.9071 7.3008
O 0.7734 4.4593 3.3620
O -1.0041 0.8759 7.4202
O 1.6712 1.9129 3.4814
O 0.6748 3.1624 5.7367
O 3.3501 5.2039 1.7979

=====

Entry 10:
8
Lattice="-2.7817 2.7817 9.5313 2.7817 -2.7817 9.5313 2.7817 2.7817 -9.5313" Properties=species:S:1:pos:R:3 comment="PBE SrHfSn2, relaxed" e_form_ev_per_atom=0.12 dos_ef_per_ev_fu=4.7 e_above_lowest_polymorph_ev_per_atom=0.440 e_tot_ev_per_atom=-4.79 vol_a3_per_fu=147.51 pbc="T T T"
Sr 0.0000 0.0000 0.0000
Sr 0.0000 2.7817 4.7657
Hf 2.7817 0.0000 4.7657
Hf 0.0000 0.0000 9.5313
Sn 1.3909 -0.6505 7.1485
Sn 2.1312 1.3909 2.3828
Sn 1.3909 3.4322 -2.3828
Sn 0.6505 1.3909 11.9142

=====

Entry 11:
4
Lattice="3.0630 0.0000 0.0000 0.0000 3.1123 0.0000 -0.0300 0.0000 7.4364" Properties=species:S:1:pos:R:3 comment="PBE Al2IrBr, relaxed" formation_energy_uncorrected_mev_per_atom=-438 dos_ef_per_ev_fu=1.8 e_above_lowest_polymorph_ev_per_atom=0.075 e_tot_ev_per_atom=-4.94 vol_a3_per_fu=70.89 pbc="T T T"
Al -0.0014 0.0000 1.4731
Al 3.0344 0.0000 5.9633
Ir 1.5315 1.5561 0.0000
Br -0.0150 1.5561 3.7182

=====

Entry 12:
5
Lattice="3.6899 0.0000 0.0000 0.0000 3.6899 0.0000 0.0000 0.0000 5.2026" Properties=species:S:1:pos:R:3 comment="PBE CrPdAuN2, relaxed" formation_energy_uncorrected_mev_per_atom=794 dos_ef_per_ev_fu=4.0 e_tot_ev_per_atom=-6.16 vol_a3_per_fu=70.83 pbc="T T T"
Cr 0.0000 0.0000 0.0000
Pd 0.0000 0.0000 2.6013
Au 1.8450 1.8450 2.6013
N 0.0000 1.8450 0.0000
N 1.8450 0.0000 0.0000